[1]
The following is a DFT calculation (PBE-GGA) of MoAsOs2 after structural relaxation.

a = 3.891 Å, b = 3.891 Å, c = 7.889 Å
α = 90.00°, β = 90.00°, γ = 90.00°
Space group I4/mmm (No. 139)
One atom of each set of equivalent atoms:
Mo1 0.000 0.000 0.000 (multiplicity 2)
As1 0.000 0.000 0.500 (multiplicity 2)
Os1 0.000 0.500 0.250 (multiplicity 4)

Results
The calculation puts the energy of formation at 0.428 eV/atom. The energy is -72.45 eV/cell.



[2]
The following is a DFT calculation (PBE-GGA) of InAuS2 after structural relaxation.

a = 6.997 Å, b = 4.019 Å, c = 6.674 Å
α = 90.00°, β = 94.47°, γ = 90.00°
Space group P2/c (No. 13)
One atom of each set of equivalent atoms:
In1 0.000 0.199 0.250 (multiplicity 2)
Au1 0.500 0.000 0.000 (multiplicity 2)
S1 0.203 0.260 0.945 (multiplicity 4)

Results
The energy is -31.34 eV/cell.



[3]
The following is a DFT calculation (PBE-GGA) of TbTmHgRu after structural relaxation.

a = 3.460 Å, b = 3.460 Å, c = 7.491 Å
α = 90.00°, β = 90.00°, γ = 90.00°
Space group P4mm (No. 99)
One atom of each set of equivalent atoms:
Tb1 0.000 0.000 0.000 (multiplicity 1)
Tm1 0.000 0.000 0.560 (multiplicity 1)
Hg1 0.500 0.500 0.287 (multiplicity 1)
Ru1 0.500 0.500 0.774 (multiplicity 1)

Results
The calculation puts the energy of formation at -0.501 eV/atom. The energy is -20.68 eV/cell. For the relative energy among the computed polymorphs, the calculation gives 0.00 kJ per mole of atoms.



[4]
The following is a DFT calculation (PBE-GGA) of ZrIrO2 after structural relaxation.

a = 3.2282 Å, b = 3.2282 Å, c = 18.3361 Å
α = 90.00°, β = 90.00°, γ = 120.00°
Space group R-3m (No. 166, hexagonal axes)
One atom of each set of equivalent atoms:
Zr1 0.0000 0.0000 0.0000 (multiplicity 3)
Ir1 0.0000 0.0000 0.5000 (multiplicity 3)
O1 0.0000 0.0000 0.3892 (multiplicity 6)

Results
The energy is -100.83 eV/cell. For the relative energy among the computed polymorphs, the calculation gives 0.00 kJ per mole of atoms.



[5]
The following is a DFT calculation (PBE-GGA) of Cs3Mg2HgCl9 after structural relaxation.

a = 7.3721 Å, b = 7.3721 Å, c = 9.0655 Å
α = 90.00°, β = 90.00°, γ = 120.00°
Space group P-3m1 (No. 164)
One atom of each set of equivalent atoms:
Cs1 0.0000 0.0000 0.0000 (multiplicity 1)
Cs2 0.3333 0.6667 0.6639 (multiplicity 2)
Mg1 0.3333 0.6667 0.1566 (multiplicity 2)
Hg1 0.0000 0.0000 0.5000 (multiplicity 1)
Cl1 0.0000 0.5000 0.0000 (multiplicity 3)
Cl2 0.1724 0.3448 0.3248 (multiplicity 6)

Results
The energy is -47.60 eV/cell.



[6]
The following is a DFT calculation (PBE-GGA) of FeAgHg2Mo after structural relaxation.

a = 4.994 Å, b = 4.994 Å, c = 4.316 Å
α = 90.00°, β = 90.00°, γ = 90.00°
Space group P4/mmm (No. 123)
One atom of each set of equivalent atoms:
Fe1 0.000 0.000 0.000 (multiplicity 1)
Ag1 0.500 0.500 0.500 (multiplicity 1)
Hg1 0.000 0.500 0.000 (multiplicity 2)
Mo1 0.000 0.000 0.500 (multiplicity 1)

Results
The calculation puts the energy of formation at 0.919 eV/atom. The energy is -18.15 eV/cell.



[7]
The following is a DFT calculation (PBE-GGA) of Be2Se after structural relaxation.

a = 5.1557 Å, b = 5.1557 Å, c = 7.7145 Å
α = 90.00°, β = 90.00°, γ = 120.00°
Space group P6_3/mmc (No. 194)
One atom of each set of equivalent atoms:
Be1 0.0000 0.0000 0.0000 (multiplicity 2)
Be2 0.1479 0.2957 0.2500 (multiplicity 6)
Se1 0.3333 0.6667 0.0472 (multiplicity 4)

Results
The energy is -39.35 eV/cell. For the relative energy among the computed polymorphs, the calculation gives 63.33 kJ per mole of atoms.



[8]
The following is a DFT calculation (PBE-GGA) of K2PaBr4Cl2 after structural relaxation.

a = 13.761 Å, b = 7.961 Å, c = 7.733 Å
α = 90.00°, β = 124.08°, γ = 90.00°
Space group C2/m (No. 12)
One atom of each set of equivalent atoms:
K1 0.249 0.000 0.227 (multiplicity 4)
Pa1 0.000 0.000 0.500 (multiplicity 2)
Br1 0.060 0.249 0.804 (multiplicity 8)
Cl1 0.218 0.000 0.602 (multiplicity 4)

Results
The energy is -75.51 eV/cell.



Volume in A^3/atom, matching the order above: 14.93; 23.39; 22.42; 13.79; 28.45; 21.53; 14.80; 38.98